# CoH24C4S4N8Cl2O8, optimized geometry, DFT PBE+U
# Total moment   0.059 μB per atom
# Density   1.93 g/cm³
# Energy   -5.283 eV per atom
data_CoH24C4S4N8Cl2O8
_cell_length_a 7.914
_cell_length_b 8.518
_cell_length_c 8.636
_cell_angle_alpha 71.75
_cell_angle_beta 75.07
_cell_angle_gamma 63.84
_space_group_name_H-M_alt 'P -1'
_space_group_IT_number 2
_space_group_name_Hall '-P 1'
loop_
_atom_site_label
_atom_site_type_symbol
_atom_site_fract_x
_atom_site_fract_y
_atom_site_fract_z
Co1 Co 0.000 0.000 0.000
H1 H 0.117 0.256 0.457
H2 H 0.149 0.899 0.300
H3 H 0.166 0.453 0.696
H4 H 0.173 0.614 0.037
H5 H 0.186 0.180 0.028
H6 H 0.194 0.871 0.737
H7 H 0.225 0.326 0.247
H8 H 0.262 0.622 0.579
H9 H 0.346 0.973 0.034
H10 H 0.351 0.797 0.863
H11 H 0.356 0.245 0.416
H12 H 0.408 0.386 0.597
C1 C 0.248 0.234 0.369
C2 C 0.292 0.487 0.658
S1 S 0.339 0.014 0.342
S2 S 0.371 0.478 0.835
N1 N 0.177 0.015 0.251
N2 N 0.193 0.648 0.909
N3 N 0.207 0.048 0.077
N4 N 0.214 0.815 0.858
Cl1 Cl 0.015 0.751 0.244
O1 O 0.333 0.888 0.501
O2 O 0.372 0.317 0.960
O3 O 0.457 0.488 0.216
O4 O 0.481 0.019 0.766